Computed, not measured: a relaxed structure of Ti5Os at the PBE level of DFT.

N(E_F): 1.255 states/eV/atom
E_tot: -52.2 eV for the cell shown
total magnetization: 0.000 Bohr magnetons per cell
offset from the most stable computed form: 0.0 meV per atom
calculated density: 7.27 g cm⁻³

a b c (Å): 7.366 7.366 3.102
angles (deg): 90.00 90.00 144.35
Atoms (fractional coordinates):
Ti 0.000 0.000 0.000
Ti 0.177 0.823 0.500
Ti 0.352 0.648 0.000
Ti 0.648 0.352 0.000
Ti 0.823 0.177 0.500
Os 0.500 0.500 0.500

Computed, not measured: a relaxed structure of K2PRu2 at the PBE level of DFT.

N(E_F): 0.708 states/eV/atom
E_tot: -50.3 eV for the cell shown
total magnetization: 2.096 Bohr magnetons per cell
offset from the most stable computed form: 0.0 meV per atom
calculated density: 4.90 g cm⁻³

a b c (Å): 6.058 6.058 5.751
angles (deg): 90.00 90.00 90.00
Atoms (fractional coordinates):
K 0.178 0.322 0.000
K 0.322 0.822 0.000
K 0.678 0.178 0.000
K 0.822 0.678 0.000
P 0.000 0.000 0.500
P 0.500 0.500 0.500
Ru 0.148 0.648 0.500
Ru 0.352 0.148 0.500
Ru 0.648 0.852 0.500
Ru 0.852 0.352 0.500

Computed, not measured: a relaxed structure of YWSN2 at the PBE level of DFT.

N(E_F): 0.273 states/eV/atom
E_tot: -32.9 eV for the cell shown
total magnetization: 0.999 Bohr magnetons per cell
raw formation energy: 1457 meV per atom
offset from the most stable computed form: 2065.3 meV per atom
calculated density: 5.69 g cm⁻³

a b c (Å): 4.309 4.309 5.226
angles (deg): 90.00 90.00 90.00
Atoms (fractional coordinates):
Y 0.000 0.000 0.000
W 0.500 0.500 0.500
S 0.000 0.000 0.500
N 0.000 0.500 0.000
N 0.500 0.000 0.000